This record from OQMD via LeMat-Bulk describes crystalline TlIrSeO at its relaxed geometry. The functional is GGA-PBE.

Electronic total energy ... -4.54 eV per atom
V ... 19.7 Å³ per atom
Size of the total moment ... 0.019 μB/atom
ΔE to the lowest computed polymorph ... 736 meV per atom

Cell: 4.2638 4.2638 8.6797 Å, 90.00 90.00 90.00°
Closest atoms and distances in Å follow each position.
Fractional positions:
Tl 0.2500 0.7500 0.0000  4 Tl 3.01, 4 Se 3.10
Tl 0.7500 0.2500 0.0000  4 Tl 3.01, 4 Se 3.10
Ir 0.2500 0.2500 0.4615  4 O 2.16
Ir 0.7500 0.7500 0.5385  4 O 2.16
Se 0.2500 0.2500 0.7408  1 Ir 2.42
Se 0.7500 0.7500 0.2592  1 Ir 2.42
O 0.2500 0.7500 0.5000  4 Ir 2.16
O 0.7500 0.2500 0.5000  4 Ir 2.16